VASP calculation (PBE) on a geometry-optimized Ba2NaAuF structure.

The structure belongs to space group P4/mmm (No. 123); the cell edges are 5.679, 5.679 and 4.601 Å and the angles 90.00°, 90.00° and 90.00°. The inequivalent atoms are Ba at (0.000, 0.500, 0.000), Na at (0.000, 0.000, 0.500), Au at (0.500, 0.500, 0.500) and F at (0.000, 0.000, 0.000).

Its total energy is -3.34 eV per atom. Its raw formation energy is -1279.7 meV/atom. The value obtained for the magnetization is 0.0 Bohr magnetons per cell.